Entry 1:
{"formula": "CaPmInAu", "functional": "PBE", "state": "relaxed", "lattice": [[3.695, 0.000, 0.000], [0.000, 3.695, 0.000], [0.000, 0.000, 7.855]], "species": ["Ca", "Pm", "In", "Au"], "frac_coords": [[0.000, 0.000, 0.000], [0.000, 0.000, 0.461], [0.500, 0.500, 0.730], [0.500, 0.500, 0.239]], "ef_ev_per_atom": -0.63, "mass_density_g_cm3": 7.7, "final_energy_ev_per_fu": -15.3, "spacegroup": "P4mm, No. 99"}

***

Entry 2:
{"formula": "CaPmInAu", "functional": "PBE", "state": "relaxed", "lattice": [[0.000, 3.757, 3.757], [3.757, 0.000, 3.757], [3.757, 3.757, 0.000]], "species": ["Ca", "Pm", "In", "Au"], "frac_coords": [[0.000, 0.000, 0.000], [0.500, 0.500, 0.500], [0.250, 0.250, 0.250], [0.750, 0.750, 0.750]], "ef_ev_per_atom": -0.61, "mass_density_g_cm3": 7.8, "final_energy_ev_per_fu": -15.2, "spacegroup": "F-43m, No. 216"}

***

Entry 3:
{"formula": "CaPrInAu", "functional": "PBE", "state": "relaxed", "lattice": [[0.000, 3.788, 3.788], [3.788, 0.000, 3.788], [3.788, 3.788, 0.000]], "species": ["Ca", "Pr", "In", "Au"], "frac_coords": [[0.000, 0.000, 0.000], [0.500, 0.500, 0.500], [0.250, 0.250, 0.250], [0.750, 0.750, 0.750]], "ef_ev_per_atom": -0.61, "mass_density_g_cm3": 7.5, "final_energy_ev_per_fu": -15.2, "spacegroup": "F-43m, No. 216"}

***

Entry 4:
{"formula": "CaPrInAu", "functional": "PBE", "state": "relaxed", "lattice": [[3.705, 0.000, 0.000], [0.000, 3.705, 0.000], [0.000, 0.000, 7.941]], "species": ["Ca", "Pr", "In", "Au"], "frac_coords": [[0.000, 0.000, 0.000], [0.000, 0.000, 0.463], [0.500, 0.500, 0.734], [0.500, 0.500, 0.228]], "ef_ev_per_atom": -0.62, "mass_density_g_cm3": 7.5, "final_energy_ev_per_fu": -15.3, "spacegroup": "P4mm, No. 99"}

***

Entry 5:
{"formula": "CaPuInAu", "functional": "PBE", "state": "relaxed", "lattice": [[0.000, 3.739, 3.739], [3.739, 0.000, 3.739], [3.739, 3.739, 0.000]], "species": ["Ca", "Pu", "In", "Au"], "frac_coords": [[0.000, 0.000, 0.000], [0.500, 0.500, 0.500], [0.750, 0.750, 0.750], [0.250, 0.250, 0.250]], "ef_ev_per_atom": -0.35, "mass_density_g_cm3": 9.5, "final_energy_ev_per_fu": -23.8, "spacegroup": "F-43m, No. 216"}

***

Entry 6:
{"formula": "CaIn2RuAu", "functional": "PBE", "state": "relaxed", "lattice": [[5.776, 0.000, 0.000], [0.000, 5.776, 0.000], [0.000, 0.000, 4.689]], "species": ["Ca", "In", "In", "Ru", "Au"], "frac_coords": [[0.000, 0.000, 0.000], [0.000, 0.500, 0.000], [0.500, 0.000, 0.000], [0.000, 0.000, 0.500], [0.500, 0.500, 0.500]], "ef_ev_per_atom": 1.27, "mass_density_g_cm3": 6.0, "final_energy_ev_per_fu": -13.7, "spacegroup": "P4/mmm, No. 123"}

***

Entry 7:
{"formula": "CaIn2RuAu", "functional": "PBE", "state": "relaxed", "lattice": [[5.034, 0.000, 0.000], [0.000, 5.034, 0.000], [0.000, 0.000, 5.327]], "species": ["Ca", "In", "In", "Ru", "Au"], "frac_coords": [[0.000, 0.000, 0.000], [0.000, 0.500, 0.500], [0.500, 0.000, 0.500], [0.500, 0.500, 0.500], [0.500, 0.500, 0.000]], "ef_ev_per_atom": 0.01, "mass_density_g_cm3": 7.0, "final_energy_ev_per_fu": -20.0, "spacegroup": "P4/mmm, No. 123"}

***

Entry 8:
{"formula": "Ca3InSi2Au9", "functional": "PBE", "state": "relaxed", "lattice": [[7.225, 0.000, 0.000], [-3.613, 6.257, 0.000], [0.000, 0.000, 7.931]], "species": ["Ca", "Ca", "Ca", "In", "Si", "Si", "Au", "Au", "Au", "Au", "Au", "Au", "Au", "Au", "Au"], "frac_coords": [[0.000, 0.000, 0.000], [0.333, 0.667, 0.709], [0.667, 0.333, 0.291], [0.000, 0.000, 0.500], [0.333, 0.667, 0.150], [0.667, 0.333, 0.850], [0.000, 0.500, 0.000], [0.199, 0.398, 0.381], [0.199, 0.801, 0.381], [0.398, 0.199, 0.619], [0.500, 0.000, 0.000], [0.500, 0.500, 0.000], [0.602, 0.801, 0.381], [0.801, 0.199, 0.619], [0.801, 0.602, 0.619]], "mass_density_g_cm3": 9.6, "formation_energy_uncorrected_ev_per_fu": -5.10, "final_energy_ev_per_fu": -54.2, "spacegroup": "P-3m1, No. 164"}